Below is a relaxed YErPd4 crystal, with properties calculated at the PBE-GGA level.

Cell and atoms, written as POSCAR:
```
YErPd4
1.0
4.860 -1.819 0.000
4.860 1.819 0.000
-2.492 0.000 6.508
Y Er Pd
1 1 4
Cartesian
0.000 0.000 0.000 Y
-1.246 0.000 3.254 Er
2.802 0.000 1.116 Pd
1.597 0.000 4.307 Pd
5.631 0.000 2.200 Pd
4.426 0.000 5.391 Pd
```

Properties
total energy: -6.08 eV per atom
DOS(E_F): 3.3 states/eV/f.u.



Below is a relaxed AgSb2TeF crystal, with properties calculated at the PBE-GGA level.

Cell and atoms, written as POSCAR:
```
AgSb2TeF
1.0
4.718 0.000 0.000
0.000 4.718 0.000
0.000 0.000 5.600
Ag Sb Te F
1 2 1 1
Cartesian
0.000 0.000 0.000 Ag
0.000 2.359 2.800 Sb
2.359 0.000 2.800 Sb
2.359 2.359 0.000 Te
2.359 2.359 2.800 F
```

Properties
raw formation energy: 39 meV/atom
DOS(E_F): 2.8 states/eV/f.u.